No. 1
## NdPu2USb4 (PBE)

Data for a relaxed structure of NdPu2USb4.

The structure in POSCAR format:
```
NdPu2USb4
1.0
-5.5759 -0.5032 2.8304
2.8613 -0.3940 5.5689
1.0882 6.6919 -3.6198
Sb Pu U Nd
4 2 1 1
Direct
0.7526 0.7526 0.5051
0.5032 0.0032 0.0063
0.2474 0.2474 0.4949
0.9968 0.4968 0.9937
0.0000 0.0001 0.0000
0.2500 0.7500 0.5000
0.7500 0.2500 0.5000
0.5000 0.5000 0.0000
```

Summary:
* space group: I-4m2, No. 119
* DFT total energy: -8.271 eV/atom
* formation energy from raw total energies: -0.620 eV per atom
* volume: 247.0 Å³ per cell

No. 2
## KNbSbO6 (PBE)

Data for a relaxed structure of KNbSbO6.

The structure in POSCAR format:
```
KNbSbO6
1.0
5.5230 0.0000 0.0000
-2.7615 4.7830 0.0000
0.0000 0.0000 11.5347
O Sb Nb K
12 2 2 2
Direct
0.5993 0.0012 0.8459
0.9988 0.5981 0.8459
0.5981 0.9988 0.3459
0.9988 0.4007 0.6541
0.4019 0.4007 0.8459
0.4019 0.0012 0.6541
0.5981 0.5993 0.1541
0.0012 0.5993 0.3459
0.4007 0.4019 0.3459
0.0012 0.4019 0.1541
0.5993 0.5981 0.6541
0.4007 0.9988 0.1541
0.3333 0.6667 0.2500
0.6667 0.3333 0.7500
0.3333 0.6667 0.7500
0.6667 0.3333 0.2500
0.0000 0.0000 0.5000
0.0000 0.0000 0.0000
```

Summary:
* space group: P-31c, No. 163
* DFT total energy: -6.743 eV/atom
* formation energy from raw total energies: -1.738 eV per atom
* volume: 304.7 Å³ per cell

No. 3
## LaEr3Ni8 (PBE)

Data for a relaxed structure of LaEr3Ni8.

The structure in POSCAR format:
```
LaEr3Ni8
1.0
5.0927 0.0000 0.0000
-2.5463 4.4104 0.0000
0.0000 0.0000 8.3152
Ni Er La
8 3 1
Direct
0.4998 0.9997 0.7557
0.1686 0.8314 0.2450
0.0003 0.5002 0.7557
0.1686 0.3373 0.2450
0.4998 0.5002 0.7557
0.3333 0.6667 0.9984
0.3333 0.6667 0.4978
0.6627 0.8314 0.2450
0.6667 0.3333 0.0618
0.6667 0.3333 0.4320
0.0000 0.0000 0.9419
0.0000 0.0000 0.5659
```

Summary:
* space group: P3m1, No. 156
* energy of formation: -4.88 eV per formula unit
* DFT total energy: -5.812 eV/atom
* volume: 186.8 Å³ per cell

No. 4
## CdSn3 (PBE)

Data for a relaxed structure of CdSn3.

The structure in POSCAR format:
```
CdSn3
1.0
-0.3547 -1.6331 5.0582
-1.0481 -5.1097 1.0819
3.7939 -3.1180 2.0645
Sn Cd
3 1
Direct
0.0000 0.0000 0.0000
0.2500 0.2500 0.2500
0.7500 0.7500 0.7500
0.5000 0.5000 0.5000
```

Summary:
* space group: Fm-3m, No. 225
* energy of formation: 0.43 eV per formula unit
* DFT total energy: -3.124 eV/atom
* volume: 106.9 Å³ per cell

No. 5
## Rb2SrCu2 (PBE)

Data for a relaxed structure of Rb2SrCu2.

The structure in POSCAR format:
```
Rb2SrCu2
1.0
-1.5552 -3.4838 3.1220
0.8028 -3.4399 -3.4386
6.6753 -4.3437 2.3702
Sr Cu Rb
1 2 2
Direct
0.0000 0.0000 0.0000
0.5783 0.5783 0.8434
0.4217 0.4217 0.1566
0.2500 0.7500 0.5000
0.7500 0.2500 0.5000
```

Summary:
* space group: I4/mmm, No. 139
* energy of formation: 1.81 eV per formula unit
* DFT total energy: -1.999 eV/atom
* volume: 183.3 Å³ per cell

No. 6
## CaPdW (PBE)

Data for a relaxed structure of CaPdW.

The structure in POSCAR format:
```
CaPdW
1.0
-0.6934 0.0785 -3.1405
-6.7425 -3.6589 -0.2580
3.4512 7.9117 -0.5227
W Pd Ca
2 2 2
Direct
0.4042 0.2447 0.5986
0.7797 0.5002 0.9529
0.7342 0.5817 0.6502
0.4498 0.1631 0.9012
0.0211 0.0182 0.1114
0.1629 0.7266 0.4400
```

Summary:
* space group: P-1, No. 2
* energy of formation: 0.34 eV per formula unit
* DFT total energy: -6.603 eV/atom
* volume: 124.8 Å³ per cell

No. 7
## BaTa2As (PBE)

Data for a relaxed structure of BaTa2As.

The structure in POSCAR format:
```
BaTa2As
1.0
6.5214 -0.0046 -0.0032
3.5280 5.4848 0.0032
-4.1856 -4.2788 2.5888
Ba As Ta
1 1 2
Direct
0.7500 0.2500 0.5000
0.2500 0.7500 0.5000
0.0444 0.0444 0.0000
0.4556 0.4556 0.0000
```

Summary:
* space group: Immm, No. 71
* energy of formation: 1.90 eV per formula unit
* DFT total energy: -7.094 eV/atom
* volume: 92.7 Å³ per cell

No. 8
## CsLaP2O6 (PBE)

Data for a relaxed structure of CsLaP2O6.

The structure in POSCAR format:
```
CsLaP2O6
1.0
7.0690 -0.1805 -0.0468
-1.0446 6.9938 -0.0468
-1.7982 -2.0336 7.6264
O P La Cs
12 4 2 2
Direct
0.9213 0.4416 0.2457
0.2944 0.5218 0.4278
0.4782 0.7056 0.0722
0.4416 0.9213 0.7457
0.0787 0.5584 0.7543
0.8084 0.7167 0.8703
0.1916 0.2833 0.1297
0.5218 0.2944 0.9278
0.2833 0.1916 0.6297
0.7056 0.4782 0.5722
0.7167 0.8084 0.3703
0.5584 0.0787 0.2543
0.6368 0.8882 0.2110
0.1118 0.3632 0.2890
0.8882 0.6368 0.7110
0.3632 0.1118 0.7890
0.4286 0.5714 0.7500
0.5714 0.4286 0.2500
0.8624 0.1376 0.7500
0.1376 0.8624 0.2500
```

Summary:
* space group: C2/c, No. 15
* DFT total energy: -6.950 eV/atom
* formation energy from raw total energies: -2.315 eV per atom
* volume: 374.2 Å³ per cell